! PBE-GGA U3C2Se, relaxed; values from VASP
! * space group: Cmcm
! * density of states at the Fermi level: 1.6839 states/eV/atom
! * total DFT energy (no corrections): -9.608 eV per atom
! * spin magnetization: 7.55 μB/f.u.
! * crystal system: orthorhombic
&SYSTEM
  ibrav = 0, nat = 12, ntyp = 3
/
ATOMIC_SPECIES
U 238.03 U.upf
C 12.01 C.upf
Se 78.96 Se.upf
CELL_PARAMETERS angstrom
-1.198 -2.462 -2.882
-2.406 -2.337 5.739
-7.166 4.745 -1.073
ATOMIC_POSITIONS angstrom
U -9.144 1.798 2.266
U -1.628 -1.853 -0.482
U -4.563 0.091 -0.922
U -5.871 2.969 -0.095
U -6.208 -0.145 2.705
U -4.900 -3.023 1.878
C -2.407 -0.064 -1.687
C -3.583 2.372 -0.536
C -8.364 0.009 3.470
C 0.000 0.000 0.000
Se -3.201 -0.487 1.748
Se -7.570 0.433 0.036